{
  "formula": "CrReSb",
  "functional": "PBEsol",
  "state": "optimized geometry",
  "lattice_angstrom": [[-1.4991, 1.8600, 4.1426], [1.4991, -1.8600, 4.1426], [1.4991, 1.8600, -4.1426]],
  "species": ["Cr", "Re", "Sb"],
  "frac_coords": [[0.0000, 0.0000, 0.0000], [0.6499, 0.6499, 0.0000], [0.3254, 0.3254, 0.0000]],
  "polymorph_energy_ev_per_fu": 0.04,
  "vol_a3_per_atom": 15.40,
  "e_tot_ev_per_atom": -8.85,
  "sg": "Imm2 (44)"
}